This record from Alexandria via LeMat-Bulk describes crystalline Hf2TaAg at its relaxed geometry. The functional is PBE.

Crystal system: tetragonal
E_form in eV/atom: 0.12
SG: P4/mmm
Calculated volume in Å³ per atom: 19.9
Mass density in g cm⁻³: 13.44

Unit cell a=4.9924 b=4.9924 c=3.2004 alpha=90.00 beta=90.00 gamma=90.00
Atoms (fractional coordinates):
Hf  0.0000  0.5000  0.0000
Hf  0.5000  0.0000  0.0000
Ta  0.0000  0.0000  0.5000
Ag  0.5000  0.5000  0.5000

This record from Alexandria via LeMat-Bulk describes crystalline Ni2HgMo at its relaxed geometry. The functional is PBE.

Crystal system: tetragonal
E_form in eV/atom: 0.36
SG: P4/mmm
Calculated volume in Å³ per atom: 14.5
Mass density in g cm⁻³: 11.84

Unit cell a=4.5836 b=4.5836 c=2.7620 alpha=90.00 beta=90.00 gamma=90.00
Atoms (fractional coordinates):
Ni  0.0000  0.5000  0.0000
Ni  0.5000  0.0000  0.0000
Hg  0.0000  0.0000  0.5000
Mo  0.5000  0.5000  0.5000

This record from Alexandria via LeMat-Bulk describes crystalline ZnCd4Au5 at its relaxed geometry. The functional is PBE.

Crystal system: tetragonal
E_form in eV/atom: -0.18
SG: P4/mmm
Calculated volume in Å³ per atom: 18.8
Mass density in g cm⁻³: 13.24

Unit cell a=3.2673 b=3.2673 c=17.6241 alpha=90.00 beta=90.00 gamma=90.00
Atoms (fractional coordinates):
Zn  0.0000  0.0000  0.0000
Cd  0.0000  0.0000  0.1904
Cd  0.0000  0.0000  0.3968
Cd  0.0000  0.0000  0.6032
Cd  0.0000  0.0000  0.8096
Au  0.5000  0.5000  0.0852
Au  0.5000  0.5000  0.2936
Au  0.5000  0.5000  0.5000
Au  0.5000  0.5000  0.7064
Au  0.5000  0.5000  0.9148

This record from Alexandria via LeMat-Bulk describes crystalline Fe2CoNiN at its relaxed geometry. The functional is PBE.

Crystal system: tetragonal
Formation energy from raw total energies in meV per atom: -12
SG: P4/mmm
Calculated volume in Å³ per atom: 10.7
Mass density in g cm⁻³: 7.58

Unit cell a=3.7892 b=3.7892 c=3.7102 alpha=90.00 beta=90.00 gamma=90.00
Atoms (fractional coordinates):
Fe  0.0000  0.5000  0.0000
Fe  0.5000  0.0000  0.0000
Co  0.0000  0.0000  0.5000
Ni  0.5000  0.5000  0.5000
N  0.5000  0.5000  0.0000